Material: PmDyLuCd
Method: DFT, GGA-PBE
State: relaxed

Cell and atoms, written as POSCAR:
```
PmDyLuCd
1.0
0.000 3.856 3.856
3.856 0.000 3.856
3.856 3.856 0.000
Pm Dy Lu Cd
1 1 1 1
Direct
0.000 0.000 0.000 Pm
0.500 0.500 0.500 Dy
0.250 0.250 0.250 Lu
0.750 0.750 0.750 Cd
```

* E_form: -0.05 eV per atom
* total magnetic moment: 0.00 Bohr magnetons per cell